First-principles (PBE) data for crystalline CuSiSb2I at its relaxed geometry, as listed in Alexandria via LeMat-Bulk.

Structure (CIF):
```
data_CuSiSb2I
_chemical_formula_sum 'Cu1 Si1 Sb2 I1'
_cell_length_a 5.0663
_cell_length_b 5.0663
_cell_length_c 5.3316
_cell_angle_alpha 90.00
_cell_angle_beta 90.00
_cell_angle_gamma 90.00
_space_group_name_H-M_alt 'P 4/m m m'
_space_group_IT_number 123
_space_group_name_Hall '-P 4 2'
loop_
_atom_site_label
_atom_site_fract_x
_atom_site_fract_y
_atom_site_fract_z
Cu1 0.0000 0.0000 0.0000
Si1 0.5000 0.5000 0.5000
Sb1 0.0000 0.5000 0.0000
I1 0.0000 0.0000 0.5000
```

Results
- E above lowest polymorph: 0 meV/atom
- DOS at the Fermi energy: 5.16 states/eV/cell
- E_form (uncorrected): 790 meV per atom